DFT (GGA-PBE) results for an optimized crystal structure of FeCoTeI2.

Summary:
**Relative energy among the computed polymorphs**: 0.000 eV per atom
**ΔE_f (raw)**: 0.82 eV/atom
**Fermi-level density of states**: 7.16 states/eV/cell

abc: 5.3227 5.3227 4.9239
angles: 90.00 90.00 90.00
With the nearest neighbours (Å) after each atom.
Element x y z (fractional)
Fe1 0.0000 0.0000 0.0000  8 I 3.63, 4 Te 3.76
Co1 0.5000 0.5000 0.5000  2 Te 2.46, 4 I 2.66
Te1 0.5000 0.5000 0.0000  2 Co 2.46
I1 0.0000 0.5000 0.5000  2 Co 2.66
I2 0.5000 0.0000 0.5000  2 Co 2.66

***

DFT (GGA-PBE) results for an optimized crystal structure of YZr2Mo.

Summary:
**Energy relative to the elements**: 2.0 eV per formula unit
**Relative energy among the computed polymorphs**: 0.435 eV per atom
**Fermi-level density of states**: 14.48 states/eV/cell

abc: 7.9226 7.9226 6.1190
angles: 90.00 90.00 90.00
With the nearest neighbours (Å) after each atom.
Element x y z (fractional)
Y1 0.0000 0.0000 0.0000  2 Mo 3.06, 8 Zr 3.18-3.42
Y2 0.0000 0.5000 0.2500  2 Mo 3.06, 8 Zr 3.18-3.42
Y3 0.5000 0.0000 0.7500  2 Mo 3.06, 8 Zr 3.18-3.42
Y4 0.5000 0.5000 0.5000  2 Mo 3.06, 8 Zr 3.18-3.42
Zr1 0.2010 0.2500 0.6250  2 Mo 2.65
Zr2 0.2500 0.7010 0.8750  2 Mo 2.65
Zr3 0.2500 0.7990 0.3750  2 Mo 2.65
Zr4 0.2990 0.2500 0.1250  2 Mo 2.65
Zr5 0.7010 0.7500 0.1250  2 Mo 2.65
Zr6 0.7500 0.2010 0.3750  2 Mo 2.65
Zr7 0.7500 0.2990 0.8750  2 Mo 2.65
Zr8 0.7990 0.7500 0.6250  2 Mo 2.65
Mo1 0.0000 0.0000 0.5000  4 Zr 2.65
Mo2 0.0000 0.5000 0.7500  4 Zr 2.65
Mo3 0.5000 0.0000 0.2500  4 Zr 2.65
Mo4 0.5000 0.5000 0.0000  4 Zr 2.65

***

DFT (GGA-PBE) results for an optimized crystal structure of MoOsAu.

Summary:
**Energy relative to the elements**: 1.3 eV per formula unit
**Relative energy among the computed polymorphs**: 0.221 eV per atom
**Fermi-level density of states**: 12.57 states/eV/cell

abc: 2.9541 4.5896 14.4762
angles: 90.00 90.00 90.00
With the nearest neighbours (Å) after each atom.
Element x y z (fractional)
Mo1 0.0000 0.0000 0.0000  2 Os 2.61, 4 Mo 2.73, 2 Au 2.92
Mo2 0.0000 0.5000 0.5000  2 Os 2.61, 4 Mo 2.73, 2 Au 2.92
Mo3 0.5000 0.0000 0.5000  2 Os 2.61, 4 Mo 2.73, 2 Au 2.92
Mo4 0.5000 0.5000 0.0000  2 Os 2.61, 4 Mo 2.73, 2 Au 2.92
Os1 0.0000 0.0000 0.6486  2 Mo 2.61, 4 Os 2.73
Os2 0.0000 0.5000 0.1486  2 Mo 2.61, 4 Os 2.73
Os3 0.5000 0.0000 0.1486  2 Mo 2.61, 4 Os 2.73
Os4 0.5000 0.5000 0.6486  2 Mo 2.61, 4 Os 2.73
Au1 0.0000 0.0000 0.3258  6 Au 2.73-2.95, 2 Mo 2.92, 2 Os 2.96
Au2 0.0000 0.5000 0.8258  6 Au 2.73-2.95, 2 Mo 2.92, 2 Os 2.96
Au3 0.5000 0.0000 0.8258  6 Au 2.73-2.95, 2 Mo 2.92, 2 Os 2.96
Au4 0.5000 0.5000 0.3258  6 Au 2.73-2.95, 2 Mo 2.92, 2 Os 2.96

***

DFT (GGA-PBE) results for an optimized crystal structure of Li3GeCl6.

Summary:
**ΔE_f (raw)**: -1.29 eV/atom
**Fermi-level density of states**: 8.75 states/eV/cell

abc: 6.4724 6.5755 11.8046
angles: 90.00 123.20 90.00
With the nearest neighbours (Å) after each atom.
Element x y z (fractional)
Li1 0.0000 0.0000 0.0000  4 Cl 2.44-2.66
Li2 0.0000 0.5000 0.5000  4 Cl 2.44-2.66
Li3 0.2350 0.0354 0.7261  4 Cl 2.47-2.58
Li4 0.2350 0.4646 0.2261  4 Cl 2.47-2.58
Li5 0.7650 0.5354 0.7739  4 Cl 2.47-2.58
Li6 0.7650 0.9646 0.2739  4 Cl 2.47-2.58
Ge1 0.5000 0.0000 0.5000  6 Cl 2.48-2.53
Ge2 0.5000 0.5000 0.0000  6 Cl 2.48-2.53
Cl1 0.1154 0.1793 0.4449  2 Li 2.44-2.49, 1 Ge 2.50
Cl2 0.1154 0.3207 0.9449  2 Li 2.44-2.49, 1 Ge 2.50
Cl3 0.2495 0.6849 0.4102  1 Ge 2.48, 2 Li 2.57-2.66
Cl4 0.2495 0.8151 0.9102  1 Ge 2.48, 2 Li 2.57-2.66
Cl5 0.4016 0.0969 0.2683  2 Li 2.47-2.58, 1 Ge 2.53
Cl6 0.4016 0.4031 0.7683  2 Li 2.47-2.58, 1 Ge 2.53
Cl7 0.5984 0.5969 0.2317  2 Li 2.47-2.58, 1 Ge 2.53
Cl8 0.5984 0.9031 0.7317  2 Li 2.47-2.58, 1 Ge 2.53
Cl9 0.7505 0.1849 0.0898  1 Ge 2.48, 2 Li 2.57-2.66
Cl10 0.7505 0.3151 0.5898  1 Ge 2.48, 2 Li 2.57-2.66
Cl11 0.8846 0.6793 0.0551  2 Li 2.44-2.49, 1 Ge 2.50
Cl12 0.8846 0.8207 0.5551  2 Li 2.44-2.49, 1 Ge 2.50

***

DFT (GGA-PBE) results for an optimized crystal structure of RbNbSe3.

Summary:
**Relative energy among the computed polymorphs**: 0.058 eV per atom
**ΔE_f (raw)**: -0.86 eV/atom

abc: 10.2104 10.2104 7.8256
angles: 104.69 104.69 27.74
With the nearest neighbours (Å) after each atom.
Element x y z (fractional)
Rb1 0.0922 0.0922 0.2396  5 Se 3.50-3.70
Rb2 0.9078 0.9078 0.7604  5 Se 3.50-3.70
Nb1 0.3286 0.3286 0.1776  2 Se 2.34-2.37
Nb2 0.6714 0.6714 0.8224  2 Se 2.34-2.37
Se1 0.2017 0.2017 0.9401  3 Nb 2.63-2.71
Se2 0.3175 0.3175 0.4682  1 Nb 2.34
Se3 0.4473 0.4473 0.1687  1 Nb 2.37
Se4 0.5527 0.5527 0.8313  1 Nb 2.37
Se5 0.6825 0.6825 0.5318  1 Nb 2.34
Se6 0.7983 0.7983 0.0599  3 Nb 2.63-2.71

***

DFT (GGA-PBE) results for an optimized crystal structure of LaMg2Ir.

Summary:
**Energy relative to the elements**: -1.3 eV per formula unit
**Fermi-level density of states**: 3.64 states/eV/cell

abc: 3.2309 5.0005 11.6657
angles: 90.00 90.00 90.00
With the nearest neighbours (Å) after each atom.
Element x y z (fractional)
La1 0.0000 0.0000 0.0000  4 Ir 2.98, 2 La 3.23
La2 0.5000 0.5000 0.5000  4 Ir 2.98, 2 La 3.23
Mg1 0.0000 0.5000 0.1949  2 Ir 2.79
Mg2 0.0000 0.5000 0.8051  2 Ir 2.79
Mg3 0.5000 0.0000 0.3051  2 Ir 2.79
Mg4 0.5000 0.0000 0.6949  2 Ir 2.79
Ir1 0.0000 0.0000 0.5000  4 Mg 2.79, 4 La 2.98
Ir2 0.5000 0.5000 0.0000  4 Mg 2.79, 4 La 2.98

***

DFT (GGA-PBE) results for an optimized crystal structure of KAgAu2.

Summary:
**Energy relative to the elements**: -0.3 eV per formula unit
**Relative energy among the computed polymorphs**: 0.000 eV per atom
**Fermi-level density of states**: 5.44 states/eV/cell

abc: 5.3154 5.3154 18.9890
angles: 90.00 90.00 90.00
With the nearest neighbours (Å) after each atom.
Element x y z (fractional)
K1 0.0000 0.2500 0.3750  4 Ag 3.76, 8 Au 3.80
K2 0.0000 0.7500 0.6250  4 Ag 3.76, 8 Au 3.80
K3 0.5000 0.2500 0.1250  4 Ag 3.76, 8 Au 3.80
K4 0.5000 0.7500 0.8750  4 Ag 3.76, 8 Au 3.80
Ag1 0.0000 0.2500 0.8750  4 Au 2.72
Ag2 0.0000 0.7500 0.1250  4 Au 2.72
Ag3 0.5000 0.2500 0.6250  4 Au 2.72
Ag4 0.5000 0.7500 0.3750  4 Au 2.72
Au1 0.0000 0.0000 0.0000  2 Au 2.66, 2 Ag 2.72
Au2 0.0000 0.5000 0.0000  2 Au 2.66, 2 Ag 2.72
Au3 0.2500 0.2500 0.7500  2 Au 2.66, 2 Ag 2.72
Au4 0.2500 0.7500 0.2500  2 Au 2.66, 2 Ag 2.72
Au5 0.5000 0.0000 0.5000  2 Au 2.66, 2 Ag 2.72
Au6 0.5000 0.5000 0.5000  2 Au 2.66, 2 Ag 2.72
Au7 0.7500 0.2500 0.7500  2 Au 2.66, 2 Ag 2.72
Au8 0.7500 0.7500 0.2500  2 Au 2.66, 2 Ag 2.72

***

DFT (GGA-PBE) results for an optimized crystal structure of Nb3CrS6.

Summary:
**ΔE_f (raw)**: -1.09 eV/atom
**Fermi-level density of states**: 3.68 states/eV/cell

abc: 5.8015 5.8015 12.1742
angles: 90.00 90.00 120.00
With the nearest neighbours (Å) after each atom.
Element x y z (fractional)
Nb1 0.0000 0.0000 0.0000  6 S 2.50
Nb2 0.0000 0.0000 0.5000  6 S 2.50
Nb3 0.3333 0.6667 0.0027  6 S 2.49-2.51
Nb4 0.3333 0.6667 0.4973  6 S 2.49-2.51
Nb5 0.6667 0.3333 0.5027  6 S 2.49-2.51
Nb6 0.6667 0.3333 0.9973  6 S 2.49-2.51
Cr1 0.3333 0.6667 0.7500  6 S 2.42
Cr2 0.6667 0.3333 0.2500  6 S 2.42
S1 0.0022 0.3339 0.6301  1 Cr 2.42, 3 Nb 2.49-2.51
S2 0.0022 0.6682 0.8699  1 Cr 2.42, 3 Nb 2.49-2.51
S3 0.3318 0.3339 0.8699  1 Cr 2.42, 3 Nb 2.49-2.51
S4 0.3318 0.9978 0.6301  1 Cr 2.42, 3 Nb 2.49-2.51
S5 0.3339 0.0022 0.3699  1 Cr 2.42, 3 Nb 2.49-2.51
S6 0.3339 0.3318 0.1301  1 Cr 2.42, 3 Nb 2.49-2.51
S7 0.6661 0.6682 0.6301  1 Cr 2.42, 3 Nb 2.49-2.51
S8 0.6661 0.9978 0.8699  1 Cr 2.42, 3 Nb 2.49-2.51
S9 0.6682 0.0022 0.1301  1 Cr 2.42, 3 Nb 2.49-2.51
S10 0.6682 0.6661 0.3699  1 Cr 2.42, 3 Nb 2.49-2.51
S11 0.9978 0.3318 0.3699  1 Cr 2.42, 3 Nb 2.49-2.51
S12 0.9978 0.6661 0.1301  1 Cr 2.42, 3 Nb 2.49-2.51

***

no.,raw total energy (eV/atom)
1,-3.54
2,-8.09
3,-8.00
4,-3.44
5,-5.15
6,-4.56
7,-2.71
8,-7.55